Below is CuSnAu after structural relaxation, with properties calculated at the GGA-PBEsol level.

Results
density of states at the Fermi level: 1.86 states/eV per cell
total magnetization: 0.00 μB per formula unit
DFT formation energy: -0.35 eV/f.u.
calculated density: 11.86 Mg/m³
E: -4.29 eV/atom

Lattice parameters (Å, degrees): 7.0265 7.0265 7.0265 146.33 146.33 48.36
Closest atoms and distances in Å follow each position.
Fractional coordinates of all 6 atoms:
Cu1 0.0000 0.5000 0.5000  4 Au 2.63, 4 Sn 2.86, 4 Cu 2.88
Cu2 0.5000 0.0000 0.5000  4 Au 2.63, 4 Sn 2.86, 4 Cu 2.88
Sn1 0.1565 0.1565 0.0000  5 Au 2.73-2.90, 4 Cu 2.86
Sn2 0.8435 0.8435 0.0000  5 Au 2.73-2.90, 4 Cu 2.86
Au1 0.3697 0.3697 0.0000  4 Cu 2.63, 5 Sn 2.73-2.90
Au2 0.6303 0.6303 0.0000  4 Cu 2.63, 5 Sn 2.73-2.90